Record 1
# KBeGe3, optimized geometry, DFT PBE
# M_tot, μB per cell: 0.0
# Density of states at the Fermi level, states/eV/cell: 2.07
# Distance to the lowest polymorph of the same formula, eV/atom: 0.000
# Symmetry: No. 221
data_KBeGe3
_chemical_formula_sum 'K1 Be1 Ge3'
_cell_length_a 4.747
_cell_length_b 4.747
_cell_length_c 4.747
_cell_angle_alpha 90.00
_cell_angle_beta 90.00
_cell_angle_gamma 90.00
_symmetry_space_group_name_H-M 'P 1'
_symmetry_Int_Tables_number 1
_symmetry_space_group_name_Hall 'P 1'
loop_
_atom_site_label
_atom_site_type_symbol
_atom_site_fract_x
_atom_site_fract_y
_atom_site_fract_z
_atom_site_occupancy
Ge1 Ge 0.000 0.000 0.500 1
Ge2 Ge 0.500 0.000 0.000 1
Ge3 Ge 0.000 0.500 0.000 1
K1 K 0.500 0.500 0.500 1
Be1 Be 0.000 0.000 0.000 1

Record 2
# KBeGe3, optimized geometry, DFT PBE
# M_tot, μB per cell: 0.0
# Density of states at the Fermi level, states/eV/cell: 5.31
# Distance to the lowest polymorph of the same formula, eV/atom: 1.657
# Symmetry: No. 221
data_KBeGe3
_chemical_formula_sum 'K1 Be1 Ge3'
_cell_length_a 5.539
_cell_length_b 5.539
_cell_length_c 5.539
_cell_angle_alpha 90.00
_cell_angle_beta 90.00
_cell_angle_gamma 90.00
_symmetry_space_group_name_H-M 'P 1'
_symmetry_Int_Tables_number 1
_symmetry_space_group_name_Hall 'P 1'
loop_
_atom_site_label
_atom_site_type_symbol
_atom_site_fract_x
_atom_site_fract_y
_atom_site_fract_z
_atom_site_occupancy
Ge1 Ge 0.000 0.500 0.000 1
Ge2 Ge 0.000 0.000 0.500 1
Ge3 Ge 0.500 0.000 0.000 1
K1 K 0.000 0.000 0.000 1
Be1 Be 0.500 0.500 0.500 1

Record 3
# KMnBe2Ge, optimized geometry, DFT PBE
# M_tot, μB per cell: 4.3
# Density of states at the Fermi level, states/eV/cell: 2.76
# Uncorrected energy, eV/atom: -3.27
# Symmetry: No. 123
data_KMnBe2Ge
_chemical_formula_sum 'K1 Mn1 Be2 Ge1'
_cell_length_a 4.661
_cell_length_b 6.757
_cell_length_c 4.661
_cell_angle_alpha 90.00
_cell_angle_beta 90.00
_cell_angle_gamma 90.00
_symmetry_space_group_name_H-M 'P 1'
_symmetry_Int_Tables_number 1
_symmetry_space_group_name_Hall 'P 1'
loop_
_atom_site_label
_atom_site_type_symbol
_atom_site_fract_x
_atom_site_fract_y
_atom_site_fract_z
_atom_site_occupancy
Ge1 Ge 0.000 0.000 0.000 1
K1 K 0.000 0.500 0.000 1
Be1 Be 0.500 0.000 0.000 1
Be2 Be 0.000 0.000 0.500 1
Mn1 Mn 0.500 0.500 0.500 1

Record 4
# KBeGe2Mo, optimized geometry, DFT PBE
# M_tot, μB per cell: 4.0
# Density of states at the Fermi level, states/eV/cell: 1.65
# Uncorrected energy, eV/atom: -3.84
# Symmetry: No. 123
data_KBeGe2Mo
_chemical_formula_sum 'K1 Be1 Ge2 Mo1'
_cell_length_a 4.575
_cell_length_b 5.086
_cell_length_c 4.575
_cell_angle_alpha 90.00
_cell_angle_beta 90.00
_cell_angle_gamma 90.00
_symmetry_space_group_name_H-M 'P 1'
_symmetry_Int_Tables_number 1
_symmetry_space_group_name_Hall 'P 1'
loop_
_atom_site_label
_atom_site_type_symbol
_atom_site_fract_x
_atom_site_fract_y
_atom_site_fract_z
_atom_site_occupancy
Ge1 Ge 0.000 0.000 0.500 1
Ge2 Ge 0.500 0.000 0.000 1
K1 K 0.000 0.500 0.000 1
Mo1 Mo 0.500 0.500 0.500 1
Be1 Be 0.000 0.000 0.000 1

Record 5
# K2BeGeO4, optimized geometry, DFT PBE
# M_tot, μB per cell: 0.0
# Density of states at the Fermi level, states/eV/cell: 0.00
# Symmetry: No. 70
# Formation energy without anion corrections, meV per atom: -1898
data_K2BeGeO4
_chemical_formula_sum 'K4 Be2 Ge2 O8'
_cell_length_a 4.644
_cell_length_b 6.161
_cell_length_c 10.347
_cell_angle_alpha 85.15
_cell_angle_beta 77.03
_cell_angle_gamma 67.86
_symmetry_space_group_name_H-M 'P 1'
_symmetry_Int_Tables_number 1
_symmetry_space_group_name_Hall 'P 1'
loop_
_atom_site_label
_atom_site_type_symbol
_atom_site_fract_x
_atom_site_fract_y
_atom_site_fract_z
_atom_site_occupancy
Be1 Be 0.500 0.000 0.000 1
Be2 Be 0.250 0.500 0.500 1
O1 O 0.888 0.664 0.588 1
O2 O 0.226 0.164 0.912 1
O3 O 0.524 0.336 0.588 1
O4 O 0.448 0.664 0.412 1
O5 O 0.610 0.164 0.088 1
O6 O 0.140 0.336 0.412 1
O7 O 0.302 0.836 0.088 1
O8 O 0.862 0.836 0.912 1
K1 K 0.575 0.500 0.850 1
K2 K 0.175 0.000 0.650 1
K3 K 0.825 0.000 0.350 1
K4 K 0.925 0.500 0.150 1
Ge1 Ge 0.750 0.500 0.500 1
Ge2 Ge 0.000 0.000 0.000 1

Record 6
# KBe4Ge3O12, optimized geometry, DFT PBE
# M_tot, μB per cell: 3.0
# Density of states at the Fermi level, states/eV/cell: 7.94
# Symmetry: No. 155
# Formation energy without anion corrections, meV per atom: -1707
data_KBe4Ge3O12
_chemical_formula_sum 'K1 Be4 Ge3 O12'
_cell_length_a 6.254
_cell_length_b 6.254
_cell_length_c 6.254
_cell_angle_alpha 105.87
_cell_angle_beta 105.87
_cell_angle_gamma 105.87
_symmetry_space_group_name_H-M 'P 1'
_symmetry_Int_Tables_number 1
_symmetry_space_group_name_Hall 'P 1'
loop_
_atom_site_label
_atom_site_type_symbol
_atom_site_fract_x
_atom_site_fract_y
_atom_site_fract_z
_atom_site_occupancy
O1 O 0.658 0.500 0.342 1
O2 O 0.500 0.342 0.658 1
O3 O 0.620 0.754 0.046 1
O4 O 0.754 0.046 0.620 1
O5 O 0.380 0.954 0.246 1
O6 O 0.500 0.094 0.906 1
O7 O 0.046 0.620 0.754 1
O8 O 0.094 0.906 0.500 1
O9 O 0.906 0.500 0.094 1
O10 O 0.342 0.658 0.500 1
O11 O 0.246 0.380 0.954 1
O12 O 0.954 0.246 0.380 1
Ge1 Ge 0.436 0.000 0.564 1
Ge2 Ge 0.000 0.564 0.436 1
Ge3 Ge 0.564 0.436 0.000 1
Be1 Be 0.062 0.500 0.938 1
Be2 Be 0.500 0.500 0.500 1
Be3 Be 0.938 0.062 0.500 1
Be4 Be 0.500 0.938 0.062 1
K1 K 0.000 0.000 0.000 1

Record 7
# KBe2GeRh, optimized geometry, DFT PBE
# M_tot, μB per cell: 0.0
# Density of states at the Fermi level, states/eV/cell: 0.39
# Uncorrected energy, eV/atom: -4.02
# Symmetry: No. 123
data_KBe2GeRh
_chemical_formula_sum 'K1 Be2 Ge1 Rh1'
_cell_length_a 4.533
_cell_length_b 4.645
_cell_length_c 4.533
_cell_angle_alpha 90.00
_cell_angle_beta 90.00
_cell_angle_gamma 90.00
_symmetry_space_group_name_H-M 'P 1'
_symmetry_Int_Tables_number 1
_symmetry_space_group_name_Hall 'P 1'
loop_
_atom_site_label
_atom_site_type_symbol
_atom_site_fract_x
_atom_site_fract_y
_atom_site_fract_z
_atom_site_occupancy
Be1 Be 0.000 0.000 0.500 1
Be2 Be 0.500 0.000 0.000 1
Ge1 Ge 0.000 0.500 0.000 1
Rh1 Rh 0.000 0.000 0.000 1
K1 K 0.500 0.500 0.500 1

Record 8
# KSrBe2Ge, optimized geometry, DFT PBE
# M_tot, μB per cell: 0.0
# Density of states at the Fermi level, states/eV/cell: 3.96
# Uncorrected energy, eV/atom: -2.31
# Symmetry: No. 123
data_KSrBe2Ge
_chemical_formula_sum 'K1 Sr1 Be2 Ge1'
_cell_length_a 4.635
_cell_length_b 5.867
_cell_length_c 4.635
_cell_angle_alpha 90.00
_cell_angle_beta 90.00
_cell_angle_gamma 90.00
_symmetry_space_group_name_H-M 'P 1'
_symmetry_Int_Tables_number 1
_symmetry_space_group_name_Hall 'P 1'
loop_
_atom_site_label
_atom_site_type_symbol
_atom_site_fract_x
_atom_site_fract_y
_atom_site_fract_z
_atom_site_occupancy
K1 K 0.500 0.500 0.500 1
Be1 Be 0.000 0.000 0.500 1
Be2 Be 0.500 0.000 0.000 1
Sr1 Sr 0.000 0.500 0.000 1
Ge1 Ge 0.000 0.000 0.000 1

- Which formula does entry 3 have?
  KMnBe2Ge

- Which value of M_tot does entry 6 give?
  3.0 μB per cell